(P)
The following is a DFT calculation (PBE) of crystalline ScWI2 at its relaxed geometry. Values from VASP.

```
&SYSTEM
  ibrav = 0, nat = 4, ntyp = 3
/
ATOMIC_SPECIES
I 126.90 I.upf
Sc 44.96 Sc.upf
W 183.84 W.upf
ATOMIC_POSITIONS crystal
I 0.2500 0.2500 0.2500
I 0.7500 0.7500 0.7500
Sc 0.0000 0.0000 0.0000
W 0.5000 0.5000 0.5000
CELL_PARAMETERS angstrom
0.0000 3.5188 3.5188
3.5188 0.0000 3.5188
3.5188 3.5188 0.0000
```


(Q)
The following is a DFT calculation (PBE) of crystalline ScWI2 at its relaxed geometry. Values from VASP.

```
&SYSTEM
  ibrav = 0, nat = 8, ntyp = 3
/
ATOMIC_SPECIES
I 126.90 I.upf
Sc 44.96 Sc.upf
W 183.84 W.upf
ATOMIC_POSITIONS crystal
I 0.6402 0.1250 0.2500
I 0.1098 0.6250 0.2500
I 0.3750 0.3598 0.7500
I 0.8750 0.8902 0.7500
Sc 0.5000 0.5000 0.0000
Sc 0.2500 0.7500 0.5000
W 0.0000 0.0000 0.0000
W 0.7500 0.2500 0.5000
CELL_PARAMETERS angstrom
-2.2194 3.6456 2.3748
-1.4299 -3.1290 3.4671
5.6036 1.8494 7.4205
```


Which one is most stable, and which one is least stable? (P) is the most stable of them, while (Q) is the least stable.


(P)
The following is a DFT calculation (PBE) of crystalline Sc3WI at its relaxed geometry. Values from VASP.

```
&SYSTEM
  ibrav = 0, nat = 5, ntyp = 3
/
ATOMIC_SPECIES
I 126.90 I.upf
Sc 44.96 Sc.upf
W 183.84 W.upf
ATOMIC_POSITIONS crystal
I 0.0000 0.0000 0.0000
Sc 0.0000 0.5000 0.0000
Sc 0.0000 0.0000 0.5000
Sc 0.5000 0.0000 0.0000
W 0.5000 0.5000 0.5000
CELL_PARAMETERS angstrom
-4.7785 1.4396 1.0739
-0.2505 -3.5568 3.6532
1.7785 3.3669 3.4001
```


(Q)
The following is a DFT calculation (PBE) of crystalline Sc3WI at its relaxed geometry. Values from VASP.

```
&SYSTEM
  ibrav = 0, nat = 5, ntyp = 3
/
ATOMIC_SPECIES
I 126.90 I.upf
Sc 44.96 Sc.upf
W 183.84 W.upf
ATOMIC_POSITIONS crystal
I 0.5000 0.5000 0.5000
Sc 0.0000 0.5000 0.0000
Sc 0.0000 0.0000 0.5000
Sc 0.5000 0.0000 0.0000
W 0.0000 0.0000 0.0000
CELL_PARAMETERS angstrom
-0.4880 4.5262 -2.5150
-3.7866 -2.0349 -2.9276
-3.5318 1.5564 3.4863
```


Which one is most stable, and which one is least stable? (Q) is the most stable of them, while (P) is the least stable.


(P)
The following is a DFT calculation (PBE) of crystalline ScW3I at its relaxed geometry. Values from VASP.

```
&SYSTEM
  ibrav = 0, nat = 5, ntyp = 3
/
ATOMIC_SPECIES
I 126.90 I.upf
Sc 44.96 Sc.upf
W 183.84 W.upf
ATOMIC_POSITIONS crystal
I 0.5000 0.5000 0.5000
Sc 0.0000 0.0000 0.0000
W 0.0000 0.5000 0.0000
W 0.0000 0.0000 0.5000
W 0.5000 0.0000 0.0000
CELL_PARAMETERS angstrom
4.7844 0.0000 0.0000
0.0000 4.7844 0.0000
0.0000 0.0000 4.7844
```


(Q)
The following is a DFT calculation (PBE) of crystalline ScW3I at its relaxed geometry. Values from VASP.

```
&SYSTEM
  ibrav = 0, nat = 5, ntyp = 3
/
ATOMIC_SPECIES
I 126.90 I.upf
Sc 44.96 Sc.upf
W 183.84 W.upf
ATOMIC_POSITIONS crystal
I 0.0000 0.0000 0.0000
Sc 0.5000 0.5000 0.5000
W 0.0000 0.5000 0.0000
W 0.0000 0.0000 0.5000
W 0.5000 0.0000 0.0000
CELL_PARAMETERS angstrom
-0.9608 0.3881 -4.7585
-3.5482 -3.3057 0.4468
-3.1944 3.5550 0.9350
```


Which one is most stable, and which one is least stable? (Q) is the most stable of them, while (P) is the least stable.


(P)
The following is a DFT calculation (PBE) of crystalline ScW2I at its relaxed geometry. Values from VASP.

```
&SYSTEM
  ibrav = 0, nat = 8, ntyp = 3
/
ATOMIC_SPECIES
I 126.90 I.upf
Sc 44.96 Sc.upf
W 183.84 W.upf
ATOMIC_POSITIONS crystal
I 0.0000 0.0000 0.0000
I 0.7500 0.2500 0.5000
Sc 0.5000 0.5000 0.0000
Sc 0.2500 0.7500 0.5000
W 0.6109 0.1250 0.2500
W 0.1391 0.6250 0.2500
W 0.3750 0.3891 0.7500
W 0.8750 0.8609 0.7500
CELL_PARAMETERS angstrom
3.8873 0.0000 0.0000
0.0000 3.8873 0.0000
1.9437 1.9437 10.8880
```


(Q)
The following is a DFT calculation (PBE) of crystalline ScW2I at its relaxed geometry. Values from VASP.

```
&SYSTEM
  ibrav = 0, nat = 4, ntyp = 3
/
ATOMIC_SPECIES
I 126.90 I.upf
Sc 44.96 Sc.upf
W 183.84 W.upf
ATOMIC_POSITIONS crystal
I 0.5000 0.5000 0.5000
Sc 0.0000 0.0000 0.0000
W 0.2500 0.2500 0.2500
W 0.7500 0.7500 0.7500
CELL_PARAMETERS angstrom
0.0000 3.3242 3.3242
3.3242 0.0000 3.3242
3.3242 3.3242 0.0000
```


Which one is most stable, and which one is least stable? (P) is the most stable of them, while (Q) is the least stable.


(P)
The following is a DFT calculation (PBE) of crystalline YSc3I at its relaxed geometry. Values from VASP.

```
&SYSTEM
  ibrav = 0, nat = 5, ntyp = 3
/
ATOMIC_SPECIES
I 126.90 I.upf
Y 88.91 Y.upf
Sc 44.96 Sc.upf
ATOMIC_POSITIONS crystal
I 0.5000 0.5000 0.5000
Y 0.0000 0.0000 0.0000
Sc 0.0000 0.5000 0.0000
Sc 0.0000 0.0000 0.5000
Sc 0.5000 0.0000 0.0000
CELL_PARAMETERS angstrom
-2.7333 -3.8809 2.7822
3.4242 0.6413 4.2587
-3.3281 3.8471 2.0967
```


(Q)
The following is a DFT calculation (PBE) of crystalline YSc3I at its relaxed geometry. Values from VASP.

```
&SYSTEM
  ibrav = 0, nat = 5, ntyp = 3
/
ATOMIC_SPECIES
I 126.90 I.upf
Y 88.91 Y.upf
Sc 44.96 Sc.upf
ATOMIC_POSITIONS crystal
I 0.0000 0.0000 0.0000
Y 0.5000 0.5000 0.5000
Sc 0.0000 0.5000 0.0000
Sc 0.0000 0.0000 0.5000
Sc 0.5000 0.0000 0.0000
CELL_PARAMETERS angstrom
-4.4898 -0.7878 -2.7640
2.8316 -2.0903 -4.0038
-0.4921 -4.8403 2.1790
```


Which one is most stable, and which one is least stable? (Q) is the most stable of them, while (P) is the least stable.


(P)
The following is a DFT calculation (PBE) of crystalline Sc2ZnI2 at its relaxed geometry. Values from VASP.

```
&SYSTEM
  ibrav = 0, nat = 5, ntyp = 3
/
ATOMIC_SPECIES
I 126.90 I.upf
Sc 44.96 Sc.upf
Zn 65.41 Zn.upf
ATOMIC_POSITIONS crystal
I 0.3615 0.3615 0.2769
I 0.6385 0.6385 0.7231
Sc 0.7500 0.2500 0.5000
Sc 0.2500 0.7500 0.5000
Zn 0.0000 0.0000 0.0000
CELL_PARAMETERS angstrom
4.2415 0.0000 0.0000
0.0000 4.2415 0.0000
2.1207 2.1207 9.7404
```


(Q)
The following is a DFT calculation (PBE) of crystalline Sc2ZnI2 at its relaxed geometry. Values from VASP.

```
&SYSTEM
  ibrav = 0, nat = 10, ntyp = 3
/
ATOMIC_SPECIES
I 126.90 I.upf
Sc 44.96 Sc.upf
Zn 65.41 Zn.upf
ATOMIC_POSITIONS crystal
I 0.3570 0.8570 0.0000
I 0.8570 0.6430 0.0000
I 0.6430 0.1430 0.0000
I 0.1430 0.3570 0.0000
Sc 0.1515 0.6515 0.5000
Sc 0.6515 0.8485 0.5000
Sc 0.8485 0.3485 0.5000
Sc 0.3485 0.1515 0.5000
Zn 0.0000 0.0000 0.0000
Zn 0.5000 0.5000 0.0000
CELL_PARAMETERS angstrom
8.4355 0.0000 0.0000
0.0000 8.4355 0.0000
0.0000 0.0000 3.5533
```


Which one is most stable, and which one is least stable? (P) is the most stable of them, while (Q) is the least stable.